First-principles (GGA-PBE) data for Pr12Co5Pb after structural relaxation, as listed in the Alexandria database.

Calculated values
Calculated formation energy, eV/atom: -0.13
Crystal system: orthorhombic

The structure in CIF format:
```
data_Pr12Co5Pb
_chemical_formula_sum 'Pr24 Co10 Pb2'
_cell_length_a 9.902
_cell_length_b 9.967
_cell_length_c 10.234
_cell_angle_alpha 90.00
_cell_angle_beta 90.00
_cell_angle_gamma 90.00
_symmetry_space_group_name_H-M 'I m m m'
_symmetry_Int_Tables_number 71
_symmetry_space_group_name_Hall '-I 2 2'
loop_
_atom_site_label
_atom_site_fract_x
_atom_site_fract_y
_atom_site_fract_z
_atom_site_occupancy
Pr1 0.000 0.190 0.197 1
Pr2 0.192 0.500 0.186 1
Pr3 0.199 0.314 0.500 1
Co1 0.000 0.000 0.000 1
Co2 0.000 0.383 0.000 1
Co3 0.000 0.500 0.389 1
Pb1 0.000 0.000 0.500 1
```